Density functional theory data (PBE) for a geometry-optimized CaHoNiPt structure.

Properties
DOS at the Fermi energy = 2.785 states/eV/cell
Energy = -0.38547 Ry/atom
Formation enthalpy at 0 K = -0.6442 eV/atom

POSCAR file:
```
CaHoNiPt
1.0
-2.400 3.552 2.273
-4.852 -0.008 0.069
-2.366 -0.930 4.133
Ni Ca Ho Pt
1 1 1 1
direct
0.250 0.250 0.250
0.000 0.000 0.000
0.500 0.500 0.500
0.750 0.750 0.750
```